Below is a relaxed Li2TiFe2O5 crystal, with properties calculated at the GGA+U level.

a = 5.1323 Å, b = 7.9872 Å, c = 5.1376 Å
α = 108.76°, β = 71.94°, γ = 95.72°
With the nearest neighbours (Å) after each atom.
Element x y z (fractional)
O1 0.7622 0.4009 0.9672  1 Ti 1.94, 3 Li 2.11-2.15
O2 0.7275 0.8061 0.1458  1 Ti 1.98, 3 Li 2.10-2.19, 2 Fe 2.11-2.22
O3 0.2454 0.2083 0.8657  1 Ti 1.95, 1 Li 2.08, 3 Fe 2.13-2.18
O4 0.7419 0.6077 0.5633  1 Ti 2.06, 2 Li 2.07-2.09, 2 Fe 2.10-2.11
O5 0.7637 0.2171 0.3369  1 Ti 1.98, 2 Li 2.02-2.19, 2 Fe 2.10-2.15
O6 0.2275 0.3940 0.4398  1 Ti 1.98, 3 Li 2.09-2.19, 2 Fe 2.11-2.22
O7 0.7454 0.9917 0.7574  1 Ti 1.95, 1 Li 2.08, 3 Fe 2.13-2.18
O8 0.2419 0.5923 0.0557  1 Ti 2.06, 2 Li 2.07-2.09, 2 Fe 2.10-2.11
O9 0.2622 0.7991 0.6662  1 Ti 1.94, 3 Li 2.11-2.15
O10 0.2637 0.9829 0.2198  1 Ti 1.98, 2 Li 2.02-2.18, 2 Fe 2.10-2.15
Li1 0.0004 0.9935 0.0032  6 O 2.02-2.20
Li2 0.4984 0.5981 0.3006  6 O 2.07-2.19
Li3 0.5004 0.2065 0.1101  6 O 2.02-2.20
Li4 0.9985 0.6018 0.8023  6 O 2.07-2.19
Ti1 0.5101 0.8097 0.8889  5 O 1.94-2.06
Ti2 0.0101 0.3903 0.1792  5 O 1.94-2.06
Fe1 0.9964 0.1941 0.5966  6 O 2.10-2.28
Fe2 0.5039 0.4064 0.7026  6 O 2.10-2.22
Fe3 0.0038 0.7936 0.3960  6 O 2.10-2.22
Fe4 0.4963 0.0059 0.5025  6 O 2.10-2.28

Computed properties:
* final energy: -6.860 eV per atom
* SG: Cc, No. 9
* distance to the lowest polymorph of the same formula: 0.016 eV per atom